Material: BaVP2Ir
Method: DFT, PBE
State: optimized geometry

## Properties
Density   5.07 Mg/m³
Space-group type   P4/mmm, No. 123
E_form   2.604 eV per atom
V   29.00 Å³/atom

a b c (Å): 5.297 5.167 5.297
angles (deg): 90.00 90.00 90.00
Each line ends with the local moment (μB).
Fractional coordinates of all 5 atoms:
P (0.000, 0.000, 0.500)  -0.06
P (0.500, 0.000, 0.000)  -0.09
Ir (0.500, 0.500, 0.500)  -1.40
Ba (0.000, 0.000, 0.000)  0.17
V (0.000, 0.500, 0.000)  3.03

Material: ZnIn2W
Method: DFT, PBE
State: optimized geometry

## Properties
Density   9.99 Mg/m³
Space-group type   P4mm, No. 99
E_form   0.425 eV per atom
V   19.90 Å³/atom

a b c (Å): 2.906 2.906 9.423
angles (deg): 90.00 90.00 90.02
Fractional coordinates of all 4 atoms:
In (0.000, 0.000, 0.975)
In (0.500, 0.500, 0.283)
W (0.000, 0.000, 0.522)
Zn (0.500, 0.500, 0.720)

Material: Ac2La7Pr3
Method: DFT, PBE
State: optimized geometry

## Properties
Distance to the lowest polymorph of the same formula   0.0 kJ/mol of atoms
Density   6.71 Mg/m³
Space-group type   P2/m, No. 10
E_form   0.067 eV per atom
V   38.11 Å³/atom

a b c (Å): 3.716 6.682 19.068
angles (deg): 75.01 90.00 90.00
Fractional coordinates of all 12 atoms:
Ac (0.500, 0.593, 0.330)
Ac (0.500, 0.407, 0.670)
La (0.500, 0.225, 0.508)
La (0.500, 0.775, 0.492)
La (0.000, 0.554, 0.162)
La (0.000, 0.000, 0.000)
La (0.000, 0.446, 0.838)
La (0.500, 0.948, 0.834)
La (0.500, 0.052, 0.166)
Pr (0.500, 0.500, 0.000)
Pr (0.000, 0.102, 0.333)
Pr (0.000, 0.898, 0.667)